Entry 1:
# Rb2Li2Ag, relaxed, DFT PBE-GGA
data_Rb2Li2Ag
_space_group_name_H-M_alt 'I 4/m m m'
_space_group_IT_number 139
_space_group_name_Hall '-I 4 2'
_cell_length_a 4.2235
_cell_length_b 4.2235
_cell_length_c 22.6847
_cell_angle_alpha 90.00
_cell_angle_beta 90.00
_cell_angle_gamma 90.00
loop_
_atom_site_label
_atom_site_fract_x
_atom_site_fract_y
_atom_site_fract_z
Rb1 0.0000 0.0000 0.0963
Li1 0.0000 0.5000 0.2500
Ag1 0.0000 0.0000 0.5000
# N(E_F)	5.4	states/eV per cell
# magnetization	0.0000	μB/atom
# ΔE to the lowest computed polymorph	0.003	eV/atom
# energy of formation	144	meV/atom

---

Entry 2:
# CrAs3W, relaxed, DFT PBE-GGA
data_CrAs3W
_space_group_name_H-M_alt 'P m -3 m'
_space_group_IT_number 221
_space_group_name_Hall '-P 4 2 3'
_cell_length_a 4.6259
_cell_length_b 4.6259
_cell_length_c 4.6259
_cell_angle_alpha 90.00
_cell_angle_beta 90.00
_cell_angle_gamma 90.00
loop_
_atom_site_label
_atom_site_fract_x
_atom_site_fract_y
_atom_site_fract_z
Cr1 0.0000 0.0000 0.0000
As1 0.0000 0.0000 0.5000
W1 0.5000 0.5000 0.5000
# N(E_F)	3.7	states/eV per cell
# magnetization	0.8567	μB/atom
# ΔE to the lowest computed polymorph	0.000	eV/atom
# energy of formation	1101	meV/atom

---

Entry 3:
# Ag2HgI4, relaxed, DFT PBE-GGA
data_Ag2HgI4
_space_group_name_H-M_alt 'P -4 2 m'
_space_group_IT_number 111
_cell_length_a 6.8572
_cell_length_b 6.8572
_cell_length_c 6.1917
_cell_angle_alpha 90.00
_cell_angle_beta 90.00
_cell_angle_gamma 90.00
loop_
_space_group_symop_operation_xyz
'x,y,z'
'y,-x,-z'
'-x,-y,z'
'-y,x,-z'
'x,-y,-z'
'y,x,z'
'-x,y,-z'
'-y,-x,z'
loop_
_atom_site_label
_atom_site_fract_x
_atom_site_fract_y
_atom_site_fract_z
Ag1 0.0000 0.5000 0.0000
Hg1 0.0000 0.0000 0.0000
I1 0.2467 0.2467 0.2596
# E_form (uncorrected)	-0.226	eV per atom
# magnetization	0.0000	μB/atom

---

| no. | electronic total energy (eV/cell) |
| --- | --- |
| 1 | -15.784 |
| 2 | -31.021 |
| 3 | -13.787 |